Na3La3SnS8 | PBE | relaxed

Its energy relative to the elements, uncorrected is -1.5343 eV/atom. As for the magnetization: 0.00 μB/f.u.

The space group is R-3m (No. 166, hexagonal axes) and the conventional cell measures 8.3074, 8.3074 and 20.0697 Å, with angles of 90.00, 90.00 and 120.00 degrees. The inequivalent atoms are Na at (0.0000, 0.5000, 0.0000), La at (0.0000, 0.5000, 0.5000), Sn at (0.0000, 0.0000, 0.5000), S at (0.0000, 0.0000, 0.2439) and S at (0.0307, 0.5153, 0.2407).

=====

ScCd2Br | PBE | relaxed

The density of states at the Fermi level comes out at 3.14 states/eV per cell. Its energy relative to the elements, uncorrected is -0.4467 eV/atom. As for the magnetization: 0.28 μB/f.u.

The space group is P4mm (No. 99) and the conventional cell measures 3.371, 3.371 and 8.764 Å, with angles of 90.00, 90.00 and 90.00 degrees. The inequivalent atoms are Sc at (0.000, 0.000, 0.000), Cd at (0.000, 0.000, 0.548), Cd at (0.500, 0.500, 0.766) and Br at (0.500, 0.500, 0.177).

=====

MgHg3H | PBE | relaxed

The density of states at the Fermi level comes out at 1.84 states/eV per cell. As for the uncorrected energy: -0.065 Ry per atom. As for the magnetization: 0.00 μB/f.u.

The space group is Pm-3m (No. 221) and the conventional cell measures 4.659, 4.659 and 4.659 Å, with angles of 90.00, 90.00 and 90.00 degrees. The inequivalent atoms are Mg at (0.000, 0.000, 0.000), Hg at (0.000, 0.500, 0.500) and H at (0.500, 0.500, 0.500).

=====

Tb2HoHg6 | PBE | relaxed

The density of states at the Fermi level comes out at 15.78 states/eV per cell. As for the formation energy from the elements: -0.399 eV/atom. As for the magnetization: 0.00 μB/f.u.

The space group is C2/c (No. 15) and the conventional cell measures 14.394, 11.709 and 5.434 Å, with angles of 90.00, 100.02 and 90.00 degrees. The inequivalent atoms are Tb at (0.167, 0.126, 0.083), Ho at (0.000, 0.375, 0.250), Hg at (0.056, 0.126, 0.529), Hg at (0.110, 0.375, 0.804) and Hg at (0.221, 0.375, 0.362).

=====

Pu4GeAs2 | PBE | relaxed

The density of states at the Fermi level comes out at 96.53 states/eV per cell. As for the formation energy from the elements: -0.775 eV/atom. As for the magnetization: 22.00 μB/f.u.

The space group is I-42d (No. 122) and the conventional cell measures 8.763, 8.763 and 8.766 Å, with angles of 90.00, 90.00 and 90.00 degrees. The inequivalent atoms are Pu at (0.074, 0.175, 0.300), Ge at (0.000, 0.000, 0.000) and As at (0.125, 0.250, 0.625).

=====

Ac5Mg4In | PBE | relaxed

The density of states at the Fermi level comes out at 12.58 states/eV per cell. As for the formation energy from the elements: -0.145 eV/atom. As for the magnetization: 0.00 μB/f.u.

The space group is P4/mmm (No. 123) and the conventional cell measures 4.120, 4.120 and 20.542 Å, with angles of 90.00, 90.00 and 90.00 degrees. The inequivalent atoms are Ac at (0.000, 0.000, 0.000), Ac at (0.000, 0.000, 0.200), Ac at (0.000, 0.000, 0.402), Mg at (0.500, 0.500, 0.100), Mg at (0.500, 0.500, 0.299) and In at (0.500, 0.500, 0.500).

=====

V2NiHW | PBE | relaxed

The density of states at the Fermi level comes out at 4.84 states/eV per cell. As for the uncorrected energy: -0.598 Ry per atom. As for the magnetization: 0.00 μB/f.u.

The space group is P4/mmm (No. 123) and the conventional cell measures 4.100, 4.100 and 3.313 Å, with angles of 90.00, 90.00 and 90.00 degrees. The inequivalent atoms are V at (0.000, 0.500, 0.000), Ni at (0.000, 0.000, 0.500), H at (0.000, 0.000, 0.000) and W at (0.500, 0.500, 0.500).

=====

TiBe8Ni3 | PBE | relaxed

The density of states at the Fermi level comes out at 3.93 states/eV per cell. As for the formation energy from the elements: -0.314 eV/atom. As for the magnetization: 0.00 μB/f.u.

The space group is P3m1 (No. 156) and the conventional cell measures 4.2442, 4.2442 and 6.9601 Å, with angles of 90.00, 90.00 and 120.00 degrees. The inequivalent atoms are Ti at (0.0000, 0.0000, 0.0000), Be at (0.1638, 0.3276, 0.6787), Be at (0.3333, 0.6667, 0.4438), Be at (0.3333, 0.6667, 0.9356), Be at (0.5027, 0.0055, 0.2037), Ni at (0.0000, 0.0000, 0.3648), Ni at (0.6667, 0.3333, 0.5028) and Ni at (0.6667, 0.3333, 0.8940).